No. 1
VASP calculation (PBE-GGA) on Cs2LiCdHg6 after structural relaxation.

Summary:
M_tot ... 0.0000 μB/atom
Formation energy ... -1.9 eV/f.u.

a b c (Å): 11.195 11.311 7.929
angles (deg): 90.00 134.65 90.00
Space group C2/m (No. 12)
Unique sites:
Cs 0.000 0.250 0.000 (multiplicity 4)
Li 0.000 0.000 0.500 (multiplicity 2)
Cd 0.000 0.500 0.500 (multiplicity 2)
Hg 0.000 0.237 0.500 (multiplicity 4)
Hg 0.237 0.000 0.974 (multiplicity 4)
Hg 0.238 0.000 0.500 (multiplicity 4)

No. 2
VASP calculation (PBE-GGA) on TeC4 after structural relaxation.

Summary:
M_tot ... 0.0000 μB/atom
Relative energy among the computed polymorphs ... 0.0 kJ/mol of formula units
Raw formation energy ... 1.73 eV per atom

a b c (Å): 3.1265 3.1265 5.9228
angles (deg): 90.00 90.00 120.00
Space group P-3m1 (No. 164)
Unique sites:
Te 0.0000 0.0000 0.0000 (multiplicity 1)
C 0.3333 0.6667 0.2041 (multiplicity 2)
C 0.3333 0.6667 0.4494 (multiplicity 2)

No. 3
VASP calculation (PBE-GGA) on CdRhW2 after structural relaxation.

Summary:
M_tot ... 0.0000 μB/atom
Formation energy ... 1.5 eV/f.u.

a b c (Å): 5.424 8.702 2.756
angles (deg): 90.00 90.00 90.00
Space group Cmmm (No. 65)
Unique sites:
Cd 0.000 0.000 0.000 (multiplicity 2)
Rh 0.000 0.500 0.000 (multiplicity 2)
W 0.250 0.250 0.500 (multiplicity 4)

No. 4
VASP calculation (PBE-GGA) on La12Tb7Er after structural relaxation.

Summary:
M_tot ... 0.0000 μB/atom
Relative energy among the computed polymorphs ... 0.0 kJ/mol of formula units
Formation energy ... 3.7 eV/f.u.

a b c (Å): 19.6325 19.6325 6.3829
angles (deg): 90.00 90.00 120.00
Space group R-3 (No. 148, hexagonal axes)
Unique sites:
La 0.0001 0.4080 0.4992 (multiplicity 18)
La 0.0972 0.5484 0.9774 (multiplicity 18)
Tb 0.0000 0.0000 0.5000 (multiplicity 3)
Tb 0.0826 0.1654 0.8036 (multiplicity 18)
Er 0.0000 0.0000 0.0000 (multiplicity 3)

no.,calculated volume (Å³ per cell)
1,714
2,50
3,130
4,2131